Computed, not measured: HoCoNO after structural relaxation at the PBE+U level of DFT.

Geometry as extended XYZ:
```
8
Lattice="3.357 0.000 0.000 0.000 5.377 0.000 0.000 0.000 5.622" Properties=species:S:1:pos:R:3 pbc="T T T"
Ho 0.000 1.048 0.000
Ho 0.000 4.330 2.811
Co 1.679 1.430 2.980
Co 1.679 3.947 0.169
N 1.679 0.293 1.443
N 1.679 5.084 4.254
O 0.000 2.259 3.668
O 0.000 3.119 0.857
```

Computed properties:
The value obtained for the magnetization is 3.00 μB per formula unit. For the total energy, the calculation gives -7.0902 eV per atom. Its space-group type is Pmc2_1 (26). The calculation puts the offset from the most stable computed form at 19 kJ/mol of formula units.